Material: Co3Au
Method: DFT, GGA-PBE
State: relaxed

The value obtained for the energy of formation from the pure elements is 0.193 eV/atom. The total energy comes out at -47.65 eV per cell.

The structure belongs to space group C2/m (No. 12); the cell edges are 8.600, 2.668 and 4.564 Å and the angles 90.00°, 101.04° and 90.00°. The inequivalent atoms are Co at (0.000, 0.000, 0.000), Co at (0.242, 0.500, 0.217) and Au at (0.000, 0.500, 0.500).